First-principles (SCAN) data for a crystal of SrGaNi2O relaxed with PBEsol, as listed in Alexandria.

Results
The value obtained for the electronic total energy is -77.5 eV for the cell shown. The space-group type is P4/mmm. For the magnetic moment, the calculation gives 0.0 μB/cell.

Cell and atoms, written as POSCAR:
```
SrGaNi2O
1.0
4.089 0.000 0.000
0.000 4.089 0.000
0.000 0.000 4.561
Sr O Ga Ni
1 1 1 2
Cartesian
2.044 2.044 2.281
0.000 0.000 0.000
0.000 0.000 2.281
0.000 2.044 0.000
2.044 0.000 0.000
```

=====

First-principles (SCAN) data for a crystal of Sr2YGaNi2O7 relaxed with PBEsol, as listed in Alexandria.

Results
The value obtained for the electronic total energy is -393.2 eV for the cell shown. The space-group type is Ima2. For the magnetic moment, the calculation gives 4.0 μB/cell.

Cell and atoms, written as POSCAR:
```
Sr2YGaNi2O7
1.0
5.233 0.000 0.000
0.000 5.308 0.000
-2.617 -2.654 11.680
Sr Y Ga Ni O
4 2 2 4 14
Cartesian
-0.016 0.059 3.523
2.601 2.594 8.157
2.601 2.594 3.523
-0.016 0.059 8.157
2.601 2.654 0.000
5.217 0.000 0.000
0.228 3.017 5.840
2.845 -0.363 5.840
-0.019 2.656 10.076
-0.019 2.656 1.604
2.598 -0.002 10.076
2.598 -0.002 1.604
1.327 1.365 1.441
2.125 3.187 5.840
3.943 1.289 1.441
2.497 0.177 7.568
-1.365 -1.364 10.210
1.252 -1.290 10.210
-0.491 -0.533 5.840
1.327 1.365 10.239
-1.290 1.289 10.239
-0.120 2.477 7.568
-0.120 2.477 4.112
2.497 0.177 4.112
1.252 4.018 1.470
3.868 3.944 1.470
```

=====

First-principles (SCAN) data for a crystal of GaNiW2O relaxed with PBEsol, as listed in Alexandria.

Results
The value obtained for the electronic total energy is -176.4 eV for the cell shown. The space-group type is P4/mmm. For the magnetic moment, the calculation gives 0.0 μB/cell.

Cell and atoms, written as POSCAR:
```
GaNiW2O
1.0
-3.185 -1.402 -1.828
-1.579 -0.943 3.474
-1.881 3.979 0.225
O Ni Ga W
1 1 1 2
Cartesian
0.000 0.000 0.000
-3.322 0.817 0.936
-0.940 1.989 0.112
-0.790 -0.471 1.737
-1.593 -0.701 -0.914
```

=====

First-principles (SCAN) data for a crystal of GaNi10P3 relaxed with PBEsol, as listed in Alexandria.

Results
The space-group type is P-3m1. Its calculated formation energy is -6.3 eV/f.u. For the magnetic moment, the calculation gives 0.0 μB/cell.

Cell and atoms, written as POSCAR:
```
GaNi10P3
1.0
-1.925 6.755 -2.688
-4.701 -3.719 4.542
3.942 4.074 7.417
Ga Ni P
3 30 9
Cartesian
-0.331 5.868 4.462
-2.353 1.243 4.808
0.000 0.000 0.000
-2.400 4.040 4.931
-0.284 3.070 4.339
0.371 0.771 5.254
-1.130 -0.416 6.704
1.316 4.336 2.794
0.701 6.493 1.935
2.442 2.524 4.594
1.500 1.551 2.823
1.576 3.671 8.098
-4.259 3.439 1.173
-0.512 2.019 10.115
-2.172 5.091 -0.844
-1.367 5.019 8.921
-1.317 2.091 0.349
0.690 6.922 6.382
-3.373 0.188 2.889
-2.614 2.745 8.772
-0.069 4.365 0.499
-0.346 4.539 6.581
-2.337 2.571 2.690
0.582 1.281 7.878
-3.266 5.830 1.393
-1.314 4.851 2.612
-1.370 2.259 6.659
-1.930 6.399 6.945
-0.753 0.711 2.326
0.865 8.611 4.244
-3.549 -1.501 5.027
2.010 4.594 5.842
-4.694 2.516 3.428
-3.313 1.518 0.927
-2.350 -1.859 2.271
-0.963 3.377 -1.344
0.855 2.702 6.178
-3.539 4.408 3.093
-1.520 0.823 8.473
-1.164 6.287 0.798
-2.492 4.236 7.115
-0.191 2.875 2.156
```

=====

First-principles (SCAN) data for a crystal of GaNiP2Ru relaxed with PBEsol, as listed in Alexandria.

Results
The space-group type is P4/mmm. Its calculated formation energy is 4.1 eV/f.u. For the magnetic moment, the calculation gives 0.0 μB/cell.

Cell and atoms, written as POSCAR:
```
GaNiP2Ru
1.0
-0.307 -4.144 0.520
4.078 -0.410 -0.860
0.952 0.468 4.289
Ru P Ga Ni
1 2 1 1
Cartesian
2.361 -2.043 1.974
2.039 -0.205 -0.430
-0.154 -2.072 0.260
0.476 0.234 2.144
0.000 0.000 0.000
```

=====

First-principles (SCAN) data for a crystal of Ga2NiPb2 relaxed with PBEsol, as listed in Alexandria.

Results
The space-group type is I4/mmm. Its calculated formation energy is 1.5 eV/f.u. For the magnetic moment, the calculation gives 0.0 μB/cell.

Cell and atoms, written as POSCAR:
```
Ga2NiPb2
1.0
-2.786 -1.741 1.235
-0.860 -0.943 -3.269
6.679 -5.863 1.816
Pb Ni Ga
2 1 2
Cartesian
3.986 -5.913 0.656
-0.953 -2.633 -0.874
0.000 0.000 0.000
1.998 -4.073 -1.235
1.035 -4.472 1.017
```

=====

First-principles (SCAN) data for a crystal of ZnGa2NiPd relaxed with PBEsol, as listed in Alexandria.

Results
The space-group type is P4/mmm. Its calculated formation energy is 3.7 eV/f.u. For the magnetic moment, the calculation gives 1.2 μB/cell.

Cell and atoms, written as POSCAR:
```
ZnGa2NiPd
1.0
4.472 0.000 0.000
0.000 4.472 0.000
0.000 0.000 4.595
Ni Zn Ga Pd
1 1 2 1
Cartesian
2.236 2.236 2.298
0.000 0.000 0.000
0.000 2.236 0.000
2.236 0.000 0.000
0.000 0.000 2.298
```

=====

First-principles (SCAN) data for a crystal of Pr3Ga10Ni relaxed with PBEsol, as listed in Alexandria.

Results
The space-group type is Pmmm. Its calculated formation energy is -9.5 eV/f.u. For the magnetic moment, the calculation gives 0.0 μB/cell.

Cell and atoms, written as POSCAR:
```
Pr3Ga10Ni
1.0
4.210 0.000 0.000
0.000 4.234 0.000
0.000 0.000 15.162
Pr Ga Ni
3 10 1
Cartesian
0.000 2.117 7.581
0.000 0.000 3.770
0.000 0.000 11.392
2.105 2.117 2.782
2.105 2.117 12.379
2.105 2.117 5.186
2.105 2.117 9.975
2.105 0.000 6.360
2.105 0.000 8.802
2.105 0.000 1.284
2.105 0.000 13.878
0.000 2.117 1.276
0.000 2.117 13.885
0.000 0.000 0.000
```